DFT (PBE) results for a relaxed structure of LiVMo2N4.

Unit cell a=5.068 b=5.480 c=6.883 alpha=90.00 beta=90.00 gamma=90.00
Positions (direct):
N (0.857, 0.304, 0.216)
N (0.909, 0.804, 0.500)
N (0.357, 0.696, 0.284)
N (0.418, 0.172, 0.500)
N (0.357, 0.696, 0.716)
N (0.409, 0.196, 0.000)
N (0.857, 0.304, 0.784)
N (0.918, 0.828, 0.000)
Mo (0.463, 0.353, 0.741)
Mo (0.963, 0.647, 0.241)
Mo (0.463, 0.353, 0.259)
Mo (0.963, 0.647, 0.759)
V (0.043, 0.180, 0.000)
V (0.543, 0.820, 0.500)
Li (0.491, 0.836, 0.000)
Li (0.991, 0.164, 0.500)

- E_form (uncorrected) (meV/atom) = -460

---

DFT (PBE) results for a relaxed structure of LaPrLuSc.

Unit cell a=5.642 b=5.642 c=5.642 alpha=60.00 beta=60.00 gamma=60.00
Positions (direct):
Sc (0.000, 0.000, 0.000)
Pr (0.250, 0.250, 0.250)
Lu (0.500, 0.500, 0.500)
La (0.750, 0.750, 0.750)

- energy of formation (kcal/mol of atoms) = 1.7

---

What did we get for total moment? Answer: 0.000, 0.027 μB per formula unit, in the order shown.
What did we get for mass density? Answer: 5.31, 6.53 g/cm³, in the order shown.